A plane-wave DFT calculation with PBE-GGA was carried out for a relaxed structure of SrScSi2.

The space group is Cmmm (No. 65) and the conventional cell measures 6.615, 8.261 and 3.182 Å, with angles of 90.00, 90.00 and 90.00 degrees. The inequivalent atoms are Sr at (0.000, 0.000, 0.000), Sc at (0.000, 0.500, 0.000) and Si at (0.250, 0.250, 0.500).

Its formation energy without anion corrections is -0.155 eV/atom. Its energy above the most stable polymorph in this dataset is 326.4 meV per atom. For the density of states at the Fermi level, the calculation gives 4.66 states/eV/cell.


A plane-wave DFT calculation with PBE-GGA was carried out for a relaxed structure of SrScSi2.

The space group is Amm2 (No. 38) and the conventional cell measures 3.830, 4.222 and 11.505 Å, with angles of 90.00, 90.00 and 90.00 degrees. The inequivalent atoms are Sr at (0.000, 0.000, 0.000), Sc at (0.500, 0.000, 0.270), Si at (0.000, 0.000, 0.733) and Si at (0.500, 0.000, 0.602).

Its formation energy without anion corrections is -0.481 eV/atom. Its energy above the most stable polymorph in this dataset is 0.0 meV per atom. For the density of states at the Fermi level, the calculation gives 5.41 states/eV/cell.


A plane-wave DFT calculation with PBE-GGA was carried out for a relaxed structure of SrSc2Si.

The space group is P4/mmm (No. 123) and the conventional cell measures 4.605, 4.605 and 4.536 Å, with angles of 90.00, 90.00 and 90.00 degrees. The inequivalent atoms are Sr at (0.000, 0.000, 0.000), Sc at (0.000, 0.500, 0.500) and Si at (0.500, 0.500, 0.000).

Its formation energy without anion corrections is 0.006 eV/atom. For the density of states at the Fermi level, the calculation gives 3.84 states/eV/cell.


A plane-wave DFT calculation with PBE-GGA was carried out for a relaxed structure of SrScSi2.

The space group is P4/mmm (No. 123) and the conventional cell measures 3.214, 3.214 and 8.281 Å, with angles of 90.00, 90.00 and 90.00 degrees. The inequivalent atoms are Sr at (0.000, 0.000, 0.000), Sc at (0.000, 0.000, 0.500) and Si at (0.500, 0.500, 0.279).

Its formation energy without anion corrections is -0.303 eV/atom. Its energy above the most stable polymorph in this dataset is 178.0 meV per atom. For the density of states at the Fermi level, the calculation gives 1.67 states/eV/cell.


A plane-wave DFT calculation with PBE-GGA was carried out for a relaxed structure of SrSc2Si.

The space group is R-3m (No. 166, hexagonal axes) and the conventional cell measures 3.9376, 3.9376 and 27.7427 Å, with angles of 90.00, 90.00 and 120.00 degrees. The inequivalent atoms are Sr at (0.0000, 0.0000, 0.0000), Sc at (0.0000, 0.0000, 0.2161) and Si at (0.0000, 0.0000, 0.5000).

Its formation energy without anion corrections is -0.108 eV/atom. For the density of states at the Fermi level, the calculation gives 17.64 states/eV/cell.


A plane-wave DFT calculation with PBE-GGA was carried out for a relaxed structure of SrSc2Si.

The space group is P2/m (No. 10) and the conventional cell measures 3.626, 4.563 and 6.611 Å, with angles of 90.00, 105.70 and 90.00 degrees. The inequivalent atoms are Sr at (0.000, 0.000, 0.000), Sc at (0.357, 0.500, 0.694) and Si at (0.000, 0.000, 0.500).

Its formation energy without anion corrections is -0.018 eV/atom. For the density of states at the Fermi level, the calculation gives 5.47 states/eV/cell.


A plane-wave DFT calculation with PBE-GGA was carried out for a relaxed structure of SrScSi2.

The space group is Cmm2 (No. 35) and the conventional cell measures 4.551, 5.107 and 8.051 Å, with angles of 90.00, 90.00 and 90.00 degrees. The inequivalent atoms are Sr at (0.000, 0.000, 0.000), Sc at (0.000, 0.500, 0.615), Si at (0.000, 0.000, 0.408) and Si at (0.000, 0.500, 0.281).

Its formation energy without anion corrections is -0.080 eV/atom. Its energy above the most stable polymorph in this dataset is 401.2 meV per atom. For the density of states at the Fermi level, the calculation gives 4.42 states/eV/cell.


A plane-wave DFT calculation with PBE-GGA was carried out for a relaxed structure of SrScSi2.

The space group is C2/m (No. 12) and the conventional cell measures 8.885, 3.859 and 6.166 Å, with angles of 90.00, 110.15 and 90.00 degrees. The inequivalent atoms are Sr at (0.000, 0.000, 0.000), Sc at (0.000, 0.500, 0.500) and Si at (0.240, 0.000, 0.630).

Its formation energy without anion corrections is -0.401 eV/atom. Its energy above the most stable polymorph in this dataset is 80.4 meV per atom. For the density of states at the Fermi level, the calculation gives 6.95 states/eV/cell.


A plane-wave DFT calculation with PBE-GGA was carried out for a relaxed structure of SrScSi2.

The space group is P4/mmm (No. 123) and the conventional cell measures 4.626, 4.626 and 4.092 Å, with angles of 90.00, 90.00 and 90.00 degrees. The inequivalent atoms are Sr at (0.000, 0.000, 0.000), Sc at (0.500, 0.500, 0.000) and Si at (0.000, 0.500, 0.500).

Its formation energy without anion corrections is -0.118 eV/atom. Its energy above the most stable polymorph in this dataset is 363.2 meV per atom. For the density of states at the Fermi level, the calculation gives 2.65 states/eV/cell.


A plane-wave DFT calculation with PBE-GGA was carried out for a relaxed structure of SrScSiTc2.

The space group is P4/mmm (No. 123) and the conventional cell measures 4.759, 4.759 and 5.003 Å, with angles of 90.00, 90.00 and 90.00 degrees. The inequivalent atoms are Sr at (0.000, 0.000, 0.000), Sc at (0.000, 0.000, 0.500), Si at (0.500, 0.500, 0.500) and Tc at (0.000, 0.500, 0.000).

Its formation energy without anion corrections is 2.384 eV/atom. For the density of states at the Fermi level, the calculation gives 7.48 states/eV/cell.


A plane-wave DFT calculation with PBE-GGA was carried out for a relaxed structure of ScTaSi2.

The space group is Fm-3m (No. 225) and the conventional cell measures 6.430, 6.430 and 6.430 Å, with angles of 90.00, 90.00 and 90.00 degrees. The inequivalent atoms are Sc at (0.000, 0.000, 0.000), Ta at (0.000, 0.000, 0.500) and Si at (0.250, 0.250, 0.250).

Its formation energy without anion corrections is -0.169 eV/atom. Its energy above the most stable polymorph in this dataset is 485.8 meV per atom. For the density of states at the Fermi level, the calculation gives 26.03 states/eV/cell.


A plane-wave DFT calculation with PBE-GGA was carried out for a relaxed structure of ScTa2Si.

The space group is Immm (No. 71) and the conventional cell measures 3.594, 4.338 and 9.137 Å, with angles of 90.00, 90.00 and 90.00 degrees. The inequivalent atoms are Sc at (0.000, 0.000, 0.000), Ta at (0.000, 0.500, 0.241) and Si at (0.000, 0.000, 0.500).

Its formation energy without anion corrections is -0.147 eV/atom. For the density of states at the Fermi level, the calculation gives 6.60 states/eV/cell.